No. 1
Compound: NaTe3PbAu
Source: OQMD via LeMat-Bulk
Functional: PBE
Structure: relaxed

Cell lengths 7.241, 7.241, 12.266 Å; angles 90.00, 90.00, 145.99 degrees
Fractional coordinates of all 12 atoms:
1 Te 0.167 0.833 0.441
2 Te 0.575 0.425 0.750
3 Te 0.833 0.167 0.559
4 Te 0.425 0.575 0.250
5 Pb 0.500 0.500 0.500
6 Te 0.833 0.167 0.941
7 Na 0.736 0.264 0.250
8 Te 0.167 0.833 0.059
9 Au 0.052 0.948 0.250
10 Pb 0.500 0.500 0.000
11 Au 0.948 0.052 0.750
12 Na 0.264 0.736 0.750

No. 2
Compound: Na6PdAu
Source: OQMD via LeMat-Bulk
Functional: PBE
Structure: relaxed

Cell lengths 4.988, 4.988, 7.047 Å; angles 90.00, 90.00, 90.00 degrees
Fractional coordinates of all 8 atoms:
1 Na 0.000 0.500 0.245
2 Na 0.000 0.500 0.755
3 Na 0.500 0.000 0.755
4 Na 0.500 0.000 0.245
5 Na 0.000 0.000 0.500
6 Na 0.500 0.500 0.000
7 Pd 0.000 0.000 0.000
8 Au 0.500 0.500 0.500

No. 3
Compound: NaPdAuSe2S
Source: OQMD via LeMat-Bulk
Functional: PBE
Structure: relaxed

Cell lengths 7.349, 7.349, 10.188 Å; angles 90.00, 90.00, 150.41 degrees
Fractional coordinates of all 12 atoms:
1 Pd 0.500 0.500 0.500
2 Pd 0.500 0.500 0.000
3 S 0.454 0.546 0.250
4 Se 0.119 0.881 0.488
5 Se 0.881 0.119 0.512
6 Se 0.881 0.119 0.988
7 Au 0.126 0.874 0.250
8 Na 0.797 0.203 0.250
9 Se 0.119 0.881 0.012
10 S 0.546 0.454 0.750
11 Au 0.874 0.126 0.750
12 Na 0.203 0.797 0.750

No. 4
Compound: NaTe2PdAuS
Source: OQMD via LeMat-Bulk
Functional: PBE
Structure: relaxed

Cell lengths 6.535, 6.535, 11.278 Å; angles 90.00, 90.00, 143.28 degrees
Fractional coordinates of all 12 atoms:
1 S 0.528 0.472 0.750
2 Te 0.860 0.140 0.980
3 Au 0.896 0.104 0.750
4 Na 0.199 0.801 0.750
5 Pd 0.500 0.500 0.000
6 S 0.472 0.528 0.250
7 Au 0.104 0.896 0.250
8 Te 0.860 0.140 0.520
9 Te 0.140 0.860 0.020
10 Te 0.140 0.860 0.480
11 Na 0.801 0.199 0.250
12 Pd 0.500 0.500 0.500

No. 5
Compound: Na4Sb2PdAu
Source: OQMD via LeMat-Bulk
Functional: PBE
Structure: relaxed

Cell lengths 4.890, 4.890, 6.933 Å; angles 90.00, 90.00, 90.00 degrees
Fractional coordinates of all 8 atoms:
1 Pd 0.500 0.500 0.500
2 Na 0.000 0.000 0.500
3 Na 0.500 0.500 0.000
4 Au 0.000 0.000 0.000
5 Na 0.500 0.000 0.252
6 Sb 0.000 0.500 0.260
7 Na 0.000 0.500 0.748
8 Sb 0.500 0.000 0.740

No. 6
Compound: NaPdAuSe3
Source: OQMD via LeMat-Bulk
Functional: PBE
Structure: relaxed

Cell lengths 7.477, 7.477, 10.432 Å; angles 90.00, 90.00, 28.38 degrees
Fractional coordinates of all 12 atoms:
1 Se 0.548 0.548 0.750
2 Na 0.211 0.211 0.750
3 Au 0.127 0.127 0.250
4 Se 0.880 0.880 0.984
5 Pd 0.500 0.500 0.500
6 Se 0.880 0.880 0.516
7 Se 0.452 0.452 0.250
8 Na 0.789 0.789 0.250
9 Au 0.873 0.873 0.750
10 Pd 0.500 0.500 0.000
11 Se 0.120 0.120 0.484
12 Se 0.120 0.120 0.016

No. 7
Compound: NaPdAu3Se4
Source: OQMD via LeMat-Bulk
Functional: PBE
Structure: relaxed

Cell lengths 6.195, 6.195, 6.195 Å; angles 90.00, 90.00, 90.00 degrees
Fractional coordinates of all 9 atoms:
1 Se 0.264 0.264 0.264
2 Na 0.000 0.000 0.000
3 Se 0.264 0.736 0.736
4 Se 0.736 0.736 0.264
5 Au 0.500 0.000 0.500
6 Au 0.000 0.500 0.500
7 Se 0.736 0.264 0.736
8 Pd 0.500 0.500 0.500
9 Au 0.500 0.500 0.000

No. 8
Compound: NaTePdAu
Source: OQMD via LeMat-Bulk
Functional: PBE
Structure: relaxed

Summary:
* energy above the lowest structure with this stoichiometry: 0 meV per atom

Cell lengths 4.833, 4.833, 4.833 Å; angles 60.00, 60.00, 60.00 degrees
Fractional coordinates of all 4 atoms:
1 Na 0.750 0.750 0.750
2 Te 0.250 0.250 0.250
3 Pd 0.500 0.500 0.500
4 Au 0.000 0.000 0.000

No. 9
Compound: NaTePdAu
Source: OQMD via LeMat-Bulk
Functional: PBE
Structure: relaxed

Summary:
* energy above the lowest structure with this stoichiometry: 0 meV per atom

Cell lengths 4.831, 4.831, 4.831 Å; angles 60.00, 60.00, 60.00 degrees
Fractional coordinates of all 4 atoms:
1 Pd 0.250 0.250 0.250
2 Au 0.500 0.500 0.500
3 Na 0.750 0.750 0.750
4 Te 0.000 0.000 0.000

No. 10
Compound: NaTePdAu
Source: OQMD via LeMat-Bulk
Functional: PBE
Structure: relaxed

Summary:
* energy above the lowest structure with this stoichiometry: 90 meV per atom

Cell lengths 4.863, 4.863, 4.863 Å; angles 60.00, 60.00, 60.00 degrees
Fractional coordinates of all 4 atoms:
1 Na 0.750 0.750 0.750
2 Pd 0.500 0.500 0.500
3 Te 0.000 0.000 0.000
4 Au 0.250 0.250 0.250

No. 11
Compound: Na2Tl4PdAu
Source: OQMD via LeMat-Bulk
Functional: PBE
Structure: relaxed

Cell lengths 8.488, 5.873, 5.873 Å; angles 43.89, 90.00, 90.00 degrees
Fractional coordinates of all 8 atoms:
1 Tl 0.211 0.860 0.860
2 Na 0.500 0.433 0.433
3 Tl 0.307 0.140 0.140
4 Pd 0.500 0.718 0.718
5 Tl 0.789 0.860 0.860
6 Tl 0.693 0.140 0.140
7 Na 0.000 0.569 0.569
8 Au 0.000 0.281 0.281

No. 12
Compound: NaPdWAu
Source: OQMD via LeMat-Bulk
Functional: PBE
Structure: relaxed

Summary:
* energy above the lowest structure with this stoichiometry: 140 meV per atom

Cell lengths 4.524, 4.524, 4.524 Å; angles 60.00, 60.00, 60.00 degrees
Fractional coordinates of all 4 atoms:
1 W 0.000 0.000 0.000
2 Na 0.750 0.750 0.750
3 Pd 0.250 0.250 0.250
4 Au 0.500 0.500 0.500

No. 13
Compound: NaPdWAu
Source: OQMD via LeMat-Bulk
Functional: PBE
Structure: relaxed

Summary:
* energy above the lowest structure with this stoichiometry: 0 meV per atom

Cell lengths 4.575, 4.575, 4.575 Å; angles 60.00, 60.00, 60.00 degrees
Fractional coordinates of all 4 atoms:
1 W 0.250 0.250 0.250
2 Au 0.000 0.000 0.000
3 Na 0.750 0.750 0.750
4 Pd 0.500 0.500 0.500

No. 14
Compound: Na4Zn2PdAu
Source: OQMD via LeMat-Bulk
Functional: PBE
Structure: relaxed

Cell lengths 4.762, 4.762, 6.777 Å; angles 90.00, 90.00, 90.00 degrees
Fractional coordinates of all 8 atoms:
1 Na 0.500 0.500 0.000
2 Zn 0.000 0.500 0.265
3 Zn 0.500 0.000 0.735
4 Na 0.000 0.500 0.746
5 Na 0.000 0.000 0.500
6 Pd 0.500 0.500 0.500
7 Na 0.500 0.000 0.254
8 Au 0.000 0.000 0.000

No. 15
Compound: Na2PmAu2
Source: OQMD via LeMat-Bulk
Functional: PBE
Structure: relaxed

Cell lengths 4.907, 4.907, 4.878 Å; angles 90.00, 90.00, 90.00 degrees
Fractional coordinates of all 5 atoms:
1 Na 0.500 0.500 0.237
2 Au 0.500 0.000 0.500
3 Au 0.000 0.500 0.500
4 Na 0.500 0.500 0.763
5 Pm 0.000 0.000 0.000

No. 16
Compound: NaPrTe3Au
Source: OQMD via LeMat-Bulk
Functional: PBE
Structure: relaxed

Cell lengths 7.899, 7.899, 11.473 Å; angles 90.00, 90.00, 148.53 degrees
Fractional coordinates of all 12 atoms:
1 Te 0.853 0.147 0.567
2 Pr 0.500 0.500 0.000
3 Te 0.147 0.853 0.433
4 Au 0.974 0.026 0.750
5 Te 0.406 0.594 0.250
6 Au 0.026 0.974 0.250
7 Te 0.594 0.406 0.750
8 Na 0.731 0.269 0.250
9 Te 0.853 0.147 0.933
10 Na 0.269 0.731 0.750
11 Pr 0.500 0.500 0.500
12 Te 0.147 0.853 0.067

No. 17
Compound: Na6PtAu
Source: OQMD via LeMat-Bulk
Functional: PBE
Structure: relaxed

Cell lengths 4.965, 4.965, 7.004 Å; angles 90.00, 90.00, 90.00 degrees
Fractional coordinates of all 8 atoms:
1 Na 0.000 0.500 0.743
2 Au 0.000 0.000 0.000
3 Na 0.000 0.500 0.257
4 Na 0.500 0.000 0.743
5 Na 0.500 0.500 0.000
6 Pt 0.500 0.500 0.500
7 Na 0.500 0.000 0.257
8 Na 0.000 0.000 0.500

No. 18
Compound: NaPtAuS3
Source: OQMD via LeMat-Bulk
Functional: PBE
Structure: relaxed

Cell lengths 7.299, 7.299, 9.786 Å; angles 90.00, 90.00, 28.82 degrees
Fractional coordinates of all 12 atoms:
1 S 0.550 0.550 0.750
2 Na 0.202 0.202 0.750
3 S 0.112 0.112 0.485
4 S 0.888 0.888 0.515
5 Na 0.798 0.798 0.250
6 S 0.112 0.112 0.015
7 Au 0.872 0.872 0.750
8 S 0.888 0.888 0.985
9 Au 0.128 0.128 0.250
10 S 0.450 0.450 0.250
11 Pt 0.500 0.500 0.500
12 Pt 0.500 0.500 0.000

No. 19
Compound: NaPtAu3S4
Source: OQMD via LeMat-Bulk
Functional: PBE
Structure: relaxed

Cell lengths 6.038, 6.038, 6.038 Å; angles 90.00, 90.00, 90.00 degrees
Fractional coordinates of all 9 atoms:
1 S 0.730 0.730 0.270
2 Na 0.000 0.000 0.000
3 Au 0.500 0.000 0.500
4 S 0.270 0.730 0.730
5 S 0.730 0.270 0.730
6 Au 0.500 0.500 0.000
7 S 0.270 0.270 0.270
8 Pt 0.500 0.500 0.500
9 Au 0.000 0.500 0.500

No. 20
Compound: NaPtAuSe2S
Source: OQMD via LeMat-Bulk
Functional: PBE
Structure: relaxed

Cell lengths 7.440, 7.440, 10.049 Å; angles 90.00, 90.00, 150.56 degrees
Site moments in Bohr magnetons follow the coordinates.
Fractional coordinates of all 12 atoms:
1 Se 0.884 0.116 0.510  0.01
2 Na 0.798 0.202 0.250  0.00
3 S 0.547 0.453 0.750  0.10
4 S 0.453 0.547 0.250  0.10
5 Au 0.868 0.132 0.750  0.00
6 Na 0.202 0.798 0.750  0.00
7 Pt 0.500 0.500 0.000  0.02
8 Se 0.116 0.884 0.490  0.01
9 Se 0.884 0.116 0.990  0.01
10 Au 0.132 0.868 0.250  0.00
11 Se 0.116 0.884 0.010  0.01
12 Pt 0.500 0.500 0.500  0.02

No. 21
Compound: Na4Sb2PtAu
Source: OQMD via LeMat-Bulk
Functional: PBE
Structure: relaxed

Cell lengths 4.875, 4.875, 6.931 Å; angles 90.00, 90.00, 90.00 degrees
Fractional coordinates of all 8 atoms:
1 Na 0.000 0.500 0.252
2 Sb 0.500 0.000 0.264
3 Pt 0.000 0.000 0.500
4 Na 0.500 0.500 0.500
5 Na 0.500 0.000 0.748
6 Sb 0.000 0.500 0.736
7 Au 0.500 0.500 0.000
8 Na 0.000 0.000 0.000

No. 22
Compound: Na4Sn2PtAu
Source: OQMD via LeMat-Bulk
Functional: PBE
Structure: relaxed

Cell lengths 4.881, 4.881, 6.925 Å; angles 90.00, 90.00, 90.00 degrees
Fractional coordinates of all 8 atoms:
1 Na 0.500 0.000 0.750
2 Sn 0.000 0.500 0.733
3 Na 0.000 0.000 0.000
4 Na 0.500 0.500 0.500
5 Au 0.500 0.500 0.000
6 Sn 0.500 0.000 0.267
7 Pt 0.000 0.000 0.500
8 Na 0.000 0.500 0.250

No. 23
Compound: NaTe4PtAu3
Source: OQMD via LeMat-Bulk
Functional: PBE
Structure: relaxed

Cell lengths 6.584, 6.584, 6.584 Å; angles 90.00, 90.00, 90.00 degrees
Fractional coordinates of all 9 atoms:
1 Te 0.268 0.268 0.268
2 Au 0.500 0.500 0.000
3 Au 0.500 0.000 0.500
4 Na 0.000 0.000 0.000
5 Au 0.000 0.500 0.500
6 Te 0.732 0.732 0.268
7 Te 0.732 0.268 0.732
8 Te 0.268 0.732 0.732
9 Pt 0.500 0.500 0.500

No. 24
Compound: NaTe3PtAu
Source: OQMD via LeMat-Bulk
Functional: PBE
Structure: relaxed

Cell lengths 3.931, 11.288, 7.623 Å; angles 90.00, 104.94, 90.00 degrees
Fractional coordinates of all 12 atoms:
1 Te 0.376 0.766 0.752
2 Au 0.372 0.000 0.743
3 Na 0.718 0.000 0.435
4 Te 0.960 0.500 0.919
5 Pt 0.000 0.250 0.000
6 Te 0.040 0.000 0.081
7 Te 0.624 0.266 0.248
8 Te 0.376 0.234 0.752
9 Au 0.628 0.500 0.257
10 Pt 0.000 0.750 0.000
11 Te 0.624 0.734 0.248
12 Na 0.282 0.500 0.565

no.,VASP energy (eV/atom)
1,-3.23
2,-2.13
3,-3.75
4,-3.61
5,-3.10
6,-3.70
7,-3.42
8,-3.44
9,-3.44
10,-3.35
11,-2.74
12,-5.03
13,-5.17
14,-2.16
15,-2.82
16,-3.98
17,-2.27
18,-4.17
19,-3.64
20,-3.94
21,-3.20
22,-3.10
23,-3.35
24,-3.68